## a
Below is a relaxed structure of RhSe2I, with properties calculated at the PBE level.

Cell lengths 6.752, 6.752, 6.752 Å; angles 117.77, 117.77, 93.90 degrees
Sites, in units of the cell vectors:
Rh: 0.000 0.000 0.000
Rh: 0.750 0.250 0.500
Se: 0.035 0.625 0.910
Se: 0.375 0.285 0.410
Se: 0.715 0.125 0.090
Se: 0.875 0.965 0.590
I: 0.250 0.750 0.500
I: 0.500 0.500 0.000

## Properties
As for the density of states at the Fermi level: 0.0 states/eV/f.u. For the total magnetic moment, the calculation gives 0.00 μB/cell.

***

## b
Below is a relaxed structure of RhSe2I, with properties calculated at the PBE level.

Cell lengths 3.856, 4.781, 7.081 Å; angles 104.71, 92.12, 106.36 degrees
Sites, in units of the cell vectors:
Rh: 0.000 0.000 0.000
Se: 0.029 0.556 0.114
Se: 0.580 0.193 0.228
I: 0.424 0.848 0.721

## Properties
As for the density of states at the Fermi level: 0.1 states/eV/f.u. For the total magnetic moment, the calculation gives 0.00 μB/cell.

***

Most stable pick: b. Distance to second place: 228 meV/atom.

***

## a
Below is a relaxed structure of RhSe2I, with properties calculated at the PBE level.

Cell lengths 4.923, 3.742, 5.613 Å; angles 90.00, 107.27, 90.00 degrees
Sites, in units of the cell vectors:
Rh: 0.000 0.000 0.000
Se: 0.349 0.500 0.135
Se: 0.651 0.500 0.865
I: 0.000 0.000 0.500

## Properties
As for the density of states at the Fermi level: 3.9 states/eV/f.u. For the total magnetic moment, the calculation gives 0.00 μB/cell.

***

## b
Below is a relaxed structure of RhSe2I, with properties calculated at the PBE level.

Cell lengths 7.542, 7.542, 7.542 Å; angles 31.15, 31.15, 31.15 degrees
Sites, in units of the cell vectors:
Rh: 0.000 0.000 0.000
Se: 0.117 0.117 0.117
Se: 0.715 0.715 0.715
I: 0.574 0.574 0.574

## Properties
As for the density of states at the Fermi level: 0.2 states/eV/f.u. For the total magnetic moment, the calculation gives 0.00 μB/cell.

***

## c
Below is a relaxed structure of RhSe2I, with properties calculated at the PBE level.

Cell lengths 8.463, 8.463, 6.360 Å; angles 94.64, 94.64, 147.05 degrees
Sites, in units of the cell vectors:
Rh: 0.199 0.801 0.750
Rh: 0.801 0.199 0.250
Se: 0.001 0.364 0.655
Se: 0.364 0.001 0.155
Se: 0.636 0.999 0.845
Se: 0.999 0.636 0.345
I: 0.405 0.595 0.250
I: 0.595 0.405 0.750

## Properties
As for the density of states at the Fermi level: 0.0 states/eV/f.u. For the total magnetic moment, the calculation gives 0.00 μB/cell.

***

## d
Below is a relaxed structure of RhSe2I, with properties calculated at the PBE level.

Cell lengths 4.985, 4.985, 3.311 Å; angles 90.00, 90.00, 90.00 degrees
Sites, in units of the cell vectors:
Rh: 0.000 0.000 0.000
Se: 0.000 0.500 0.500
Se: 0.500 0.000 0.500
I: 0.500 0.500 0.000

## Properties
As for the density of states at the Fermi level: 3.6 states/eV/f.u. For the total magnetic moment, the calculation gives 0.00 μB/cell.

***

Most stable pick: c. Distance to second place: 24 meV/atom.

***

## a
Below is a relaxed structure of RhSeI3, with properties calculated at the PBE level.

Cell lengths 5.351, 5.351, 5.351 Å; angles 90.00, 90.00, 90.00 degrees
Sites, in units of the cell vectors:
Rh: 0.000 0.000 0.000
Se: 0.500 0.500 0.500
I: 0.000 0.000 0.500
I: 0.000 0.500 0.000
I: 0.500 0.000 0.000

## Properties
As for the density of states at the Fermi level: 7.5 states/eV/f.u. For the total magnetic moment, the calculation gives 0.00 μB/cell.

***

## b
Below is a relaxed structure of RhSeI3, with properties calculated at the PBE level.

Cell lengths 5.710, 5.710, 5.710 Å; angles 90.00, 90.00, 90.00 degrees
Sites, in units of the cell vectors:
Rh: 0.000 0.000 0.000
Se: 0.500 0.500 0.500
I: 0.000 0.500 0.500
I: 0.500 0.000 0.500
I: 0.500 0.500 0.000

## Properties
As for the density of states at the Fermi level: 11.5 states/eV/f.u. For the total magnetic moment, the calculation gives 1.84 μB/cell.

***

Most stable pick: a. Distance to second place: 446 meV/atom.